PBE-GGA Ru5Se, optimized geometry; total moment = 1.69 μB per formula unit; excess energy over the best structure of this formula in the dataset = 0.658 eV/atom; volume = 15.67 A^3/atom
1.0
0.000 3.609 3.609
3.609 0.000 3.609
3.609 3.609 0.000
Ru Se
5 1
direct
0.000 0.000 0.000 Ru
0.123 0.626 0.626 Ru
0.626 0.123 0.626 Ru
0.626 0.626 0.123 Ru
0.626 0.626 0.626 Ru
0.250 0.250 0.250 Se